Record 1
TmTcAg: optimized geometry, PBE. Values from VASP.

Properties
energy of formation from the pure elements	976.0	meV per atom

Quantum ESPRESSO input file:
```
&SYSTEM
  ibrav = 0, nat = 3, ntyp = 3
/
ATOMIC_SPECIES
Tm 168.93 Tm.upf
Tc 98.00 Tc.upf
Ag 107.87 Ag.upf
CELL_PARAMETERS angstrom
0.0000 3.2433 3.2433
3.2433 0.0000 3.2433
3.2433 3.2433 0.0000
ATOMIC_POSITIONS crystal
Tm 0.0000 0.0000 0.0000
Tc 0.2500 0.2500 0.2500
Ag 0.7500 0.7500 0.7500
```

Record 2
YTcAg2: optimized geometry, PBE. Values from VASP.

Properties
energy of formation from the pure elements	335.6	meV per atom

Quantum ESPRESSO input file:
```
&SYSTEM
  ibrav = 0, nat = 4, ntyp = 3
/
ATOMIC_SPECIES
Y 88.91 Y.upf
Tc 98.00 Tc.upf
Ag 107.87 Ag.upf
CELL_PARAMETERS angstrom
0.0000 3.3704 3.3704
3.3704 0.0000 3.3704
3.3704 3.3704 0.0000
ATOMIC_POSITIONS crystal
Y 0.0000 0.0000 0.0000
Tc 0.7500 0.7500 0.7500
Ag 0.2500 0.2500 0.2500
Ag 0.5000 0.5000 0.5000
```

Record 3
YTcAg: optimized geometry, PBE. Values from VASP.

Properties
energy of formation from the pure elements	700.1	meV per atom

Quantum ESPRESSO input file:
```
&SYSTEM
  ibrav = 0, nat = 3, ntyp = 3
/
ATOMIC_SPECIES
Y 88.91 Y.upf
Tc 98.00 Tc.upf
Ag 107.87 Ag.upf
CELL_PARAMETERS angstrom
0.0000 3.2719 3.2719
3.2719 0.0000 3.2719
3.2719 3.2719 0.0000
ATOMIC_POSITIONS crystal
Y 0.0000 0.0000 0.0000
Tc 0.5000 0.5000 0.5000
Ag 0.7500 0.7500 0.7500
```

Record 4
YTc2Ag: optimized geometry, PBE. Values from VASP.

Properties
energy of formation from the pure elements	280.0	meV per atom

Quantum ESPRESSO input file:
```
&SYSTEM
  ibrav = 0, nat = 4, ntyp = 3
/
ATOMIC_SPECIES
Y 88.91 Y.upf
Tc 98.00 Tc.upf
Ag 107.87 Ag.upf
CELL_PARAMETERS angstrom
0.0000 3.2958 3.2958
3.2958 0.0000 3.2958
3.2958 3.2958 0.0000
ATOMIC_POSITIONS crystal
Y 0.0000 0.0000 0.0000
Tc 0.2500 0.2500 0.2500
Tc 0.5000 0.5000 0.5000
Ag 0.7500 0.7500 0.7500
```

Record 5
ZnTcAg2: optimized geometry, PBE. Values from VASP.

Properties
energy of formation from the pure elements	424.0	meV per atom

Quantum ESPRESSO input file:
```
&SYSTEM
  ibrav = 0, nat = 4, ntyp = 3
/
ATOMIC_SPECIES
Zn 65.41 Zn.upf
Tc 98.00 Tc.upf
Ag 107.87 Ag.upf
CELL_PARAMETERS angstrom
0.0000 3.1978 3.1978
3.1978 0.0000 3.1978
3.1978 3.1978 0.0000
ATOMIC_POSITIONS crystal
Zn 0.0000 0.0000 0.0000
Tc 0.2500 0.2500 0.2500
Ag 0.5000 0.5000 0.5000
Ag 0.7500 0.7500 0.7500
```

Record 6
ZrTcAg2: optimized geometry, PBE. Values from VASP.

Properties
energy of formation from the pure elements	294.1	meV per atom

Quantum ESPRESSO input file:
```
&SYSTEM
  ibrav = 0, nat = 4, ntyp = 3
/
ATOMIC_SPECIES
Zr 91.22 Zr.upf
Tc 98.00 Tc.upf
Ag 107.87 Ag.upf
CELL_PARAMETERS angstrom
0.0000 3.2893 3.2893
3.2893 0.0000 3.2893
3.2893 3.2893 0.0000
ATOMIC_POSITIONS crystal
Zr 0.0000 0.0000 0.0000
Tc 0.2500 0.2500 0.2500
Ag 0.5000 0.5000 0.5000
Ag 0.7500 0.7500 0.7500
```

Record 7
ZrTc2Ag: optimized geometry, PBE. Values from VASP.

Properties
energy of formation from the pure elements	209.6	meV per atom

Quantum ESPRESSO input file:
```
&SYSTEM
  ibrav = 0, nat = 4, ntyp = 3
/
ATOMIC_SPECIES
Zr 91.22 Zr.upf
Tc 98.00 Tc.upf
Ag 107.87 Ag.upf
CELL_PARAMETERS angstrom
0.0000 3.2357 3.2357
3.2357 0.0000 3.2357
3.2357 3.2357 0.0000
ATOMIC_POSITIONS crystal
Zr 0.0000 0.0000 0.0000
Tc 0.5000 0.5000 0.5000
Tc 0.7500 0.7500 0.7500
Ag 0.2500 0.2500 0.2500
```

Record 8
Zr3Tc2Ag: optimized geometry, PBE. Values from VASP.

Properties
energy of formation from the pure elements	-313.1	meV per atom

Quantum ESPRESSO input file:
```
&SYSTEM
  ibrav = 0, nat = 6, ntyp = 3
/
ATOMIC_SPECIES
Zr 91.22 Zr.upf
Tc 98.00 Tc.upf
Ag 107.87 Ag.upf
CELL_PARAMETERS angstrom
3.3022 0.0000 0.0000
0.0000 3.3022 0.0000
0.0000 0.0000 10.3962
ATOMIC_POSITIONS crystal
Zr 0.0000 0.0000 0.0000
Zr 0.0000 0.0000 0.3094
Zr 0.0000 0.0000 0.6906
Tc 0.5000 0.5000 0.1629
Tc 0.5000 0.5000 0.8371
Ag 0.5000 0.5000 0.5000
```

Record 9
Ag15Te: optimized geometry, PBE. Values from VASP.

Quantum ESPRESSO input file:
```
&SYSTEM
  ibrav = 0, nat = 64, ntyp = 2
/
ATOMIC_SPECIES
Ag 107.87 Ag.upf
Te 127.60 Te.upf
CELL_PARAMETERS angstrom
8.1983 0.0000 0.0000
0.0000 39.0352 0.0000
-0.0239 0.0000 4.1693
ATOMIC_POSITIONS crystal
Ag 0.1100 0.1003 0.0003
Ag 0.1100 0.8997 0.5003
Ag 0.1243 0.3144 0.0000
Ag 0.1243 0.6856 0.5000
Ag 0.1253 0.3674 0.5000
Ag 0.1248 0.4204 0.0000
Ag 0.1252 0.4735 0.5000
Ag 0.1252 0.5265 0.0000
Ag 0.1248 0.5796 0.5000
Ag 0.1253 0.6326 0.0000
Ag 0.1261 0.2614 0.5001
Ag 0.1261 0.7386 0.0001
Ag 0.1268 0.2083 0.0000
Ag 0.1268 0.7917 0.5000
Ag 0.1282 0.1565 0.5000
Ag 0.1282 0.8435 0.0000
Ag 0.3742 0.2614 0.0000
Ag 0.3742 0.7386 0.5000
Ag 0.3746 0.3674 0.0000
Ag 0.3751 0.4204 0.5000
Ag 0.3750 0.4735 0.0000
Ag 0.3750 0.5265 0.5000
Ag 0.3751 0.5796 0.0000
Ag 0.3746 0.6326 0.5000
Ag 0.3755 0.3144 0.5000
Ag 0.3755 0.6856 0.0000
Ag 0.3788 0.2078 0.5000
Ag 0.3788 0.7922 0.0000
Ag 0.3797 0.1523 0.0000
Ag 0.3797 0.8477 0.5000
Ag 0.6203 0.1523 0.5000
Ag 0.6203 0.8477 0.0000
Ag 0.6212 0.2078 0.0000
Ag 0.6212 0.7922 0.5000
Ag 0.6245 0.3144 0.0000
Ag 0.6245 0.6856 0.5000
Ag 0.6254 0.3674 0.5000
Ag 0.6249 0.4204 0.0000
Ag 0.6250 0.4735 0.5000
Ag 0.6250 0.5265 0.0000
Ag 0.6249 0.5796 0.5000
Ag 0.6254 0.6326 0.0000
Ag 0.6258 0.2614 0.5000
Ag 0.6258 0.7386 0.0000
Ag 0.8718 0.1565 0.0000
Ag 0.8718 0.8435 0.5000
Ag 0.8732 0.2083 0.5000
Ag 0.8732 0.7917 0.0000
Ag 0.8739 0.2614 0.9999
Ag 0.8739 0.7386 0.4999
Ag 0.8747 0.3674 0.0000
Ag 0.8752 0.4204 0.5000
Ag 0.8748 0.4735 0.0000
Ag 0.8748 0.5265 0.5000
Ag 0.8752 0.5796 0.0000
Ag 0.8747 0.6326 0.5000
Ag 0.8757 0.3144 0.5000
Ag 0.8757 0.6856 0.0000
Ag 0.8900 0.1003 0.4997
Ag 0.8900 0.8997 0.9997
Te 0.3214 0.0930 0.5001
Te 0.3214 0.9070 0.0001
Te 0.6786 0.0930 0.9999
Te 0.6786 0.9070 0.4999
```

Record 10
Ag15Te: optimized geometry, PBE. Values from VASP.

Quantum ESPRESSO input file:
```
&SYSTEM
  ibrav = 0, nat = 32, ntyp = 2
/
ATOMIC_SPECIES
Ag 107.87 Ag.upf
Te 127.60 Te.upf
CELL_PARAMETERS angstrom
8.0470 0.0000 0.0000
0.0000 2.9622 0.0000
-0.0182 0.0000 32.2192
ATOMIC_POSITIONS crystal
Ag 0.1219 0.2500 0.2003
Ag 0.1247 0.2500 0.3854
Ag 0.1251 0.2500 0.4771
Ag 0.1250 0.2500 0.5686
Ag 0.1254 0.2500 0.6604
Ag 0.1255 0.2500 0.2934
Ag 0.1258 0.2500 0.7514
Ag 0.3740 0.7500 0.1571
Ag 0.3739 0.7500 0.2472
Ag 0.3742 0.7500 0.7995
Ag 0.3746 0.7500 0.3397
Ag 0.3749 0.7500 0.4315
Ag 0.3750 0.7500 0.5230
Ag 0.3752 0.7500 0.6146
Ag 0.3768 0.7500 0.7067
Ag 0.6232 0.2500 0.2933
Ag 0.6248 0.2500 0.3854
Ag 0.6250 0.2500 0.4770
Ag 0.6251 0.2500 0.5685
Ag 0.6254 0.2500 0.6603
Ag 0.6258 0.2500 0.2005
Ag 0.6261 0.2500 0.7528
Ag 0.6260 0.2500 0.8429
Ag 0.8742 0.7500 0.2486
Ag 0.8745 0.7500 0.7066
Ag 0.8746 0.7500 0.3396
Ag 0.8750 0.7500 0.4314
Ag 0.8749 0.7500 0.5229
Ag 0.8753 0.7500 0.6146
Ag 0.8781 0.7500 0.7997
Te 0.1272 0.2500 0.8524
Te 0.8728 0.7500 0.1476
```

Record 11
AgTe: optimized geometry, PBE. Values from VASP.

Quantum ESPRESSO input file:
```
&SYSTEM
  ibrav = 0, nat = 4, ntyp = 2
/
ATOMIC_SPECIES
Ag 107.87 Ag.upf
Te 127.60 Te.upf
CELL_PARAMETERS angstrom
4.3127 0.0000 0.0000
-2.1564 3.7349 0.0000
0.0000 0.0000 6.5113
ATOMIC_POSITIONS crystal
Ag 0.3333 0.6667 0.2500
Ag 0.6667 0.3333 0.7500
Te 0.0000 0.0000 0.0000
Te 0.0000 0.0000 0.5000
```

Record 12
AgTe: optimized geometry, PBE. Values from VASP.

Quantum ESPRESSO input file:
```
&SYSTEM
  ibrav = 0, nat = 32, ntyp = 2
/
ATOMIC_SPECIES
Ag 107.87 Ag.upf
Te 127.60 Te.upf
CELL_PARAMETERS angstrom
20.1544 0.0000 0.0000
0.0000 8.9125 0.0000
0.0000 0.0000 4.6513
ATOMIC_POSITIONS crystal
Ag 0.0527 0.2500 0.1815
Ag 0.0679 0.0158 0.6413
Ag 0.0679 0.4842 0.6413
Ag 0.1545 0.7500 0.7548
Ag 0.3455 0.2500 0.2548
Ag 0.4321 0.5158 0.1413
Ag 0.4321 0.9842 0.1413
Ag 0.4473 0.7500 0.6815
Ag 0.5527 0.2500 0.3185
Ag 0.5679 0.0158 0.8587
Ag 0.5679 0.4842 0.8587
Ag 0.6545 0.7500 0.7452
Ag 0.8455 0.2500 0.2452
Ag 0.9321 0.5158 0.3587
Ag 0.9321 0.9842 0.3587
Ag 0.9473 0.7500 0.8185
Te 0.0323 0.7500 0.3230
Te 0.1586 0.0244 0.1033
Te 0.1586 0.4756 0.1033
Te 0.2423 0.2500 0.8410
Te 0.2577 0.7500 0.3410
Te 0.3414 0.5244 0.6033
Te 0.3414 0.9756 0.6033
Te 0.4677 0.2500 0.8230
Te 0.5323 0.7500 0.1770
Te 0.6586 0.0244 0.3967
Te 0.6586 0.4756 0.3967
Te 0.7423 0.2500 0.6590
Te 0.7577 0.7500 0.1590
Te 0.8414 0.5244 0.8967
Te 0.8414 0.9756 0.8967
Te 0.9677 0.2500 0.6770
```

Number 1: VASP energy -14.7 eV per cell. Number 2: VASP energy -21.1 eV per cell. Number 3: VASP energy -17.5 eV per cell. Number 4: VASP energy -28.9 eV per cell. Number 5: VASP energy -15.6 eV per cell. Number 6: VASP energy -23.4 eV per cell. Number 7: VASP energy -31.3 eV per cell. Number 8: VASP energy -51.1 eV per cell. Number 9: VASP energy -181.2 eV per cell. Number 10: VASP energy -89.5 eV per cell. Number 11: VASP energy -11.7 eV per cell. Number 12: VASP energy -97.0 eV per cell.